{
  "formula": "VMo2W8",
  "functional": "GGA-PBE",
  "state": "relaxed",
  "formation_enthalpy_0k_ev_per_atom": 0.51,
  "mass_density_g_cm3": 15.35,
  "lattice_angstrom": [[4.635, -0.082, -0.224], [-0.039, 4.605, -2.493], [-0.204, 1.337, 7.972]],
  "species": ["W", "W", "W", "W", "W", "W", "W", "W", "Mo", "Mo", "V"],
  "frac_coords": [[0.229, 0.173, 0.346], [0.279, 0.137, 0.766], [0.238, 0.551, 0.103], [0.771, 0.827, 0.654], [0.279, 0.629, 0.766], [0.721, 0.863, 0.234], [0.762, 0.449, 0.897], [0.721, 0.371, 0.234], [0.758, 0.277, 0.554], [0.242, 0.723, 0.446], [0.000, 0.000, 0.000]]
}